Material: MgPRhO2
Method: DFT, PBE
State: optimized geometry

The energy above the most stable polymorph in this dataset is 0.000 eV/atom. As for the space-group type: P4/mmm, No. 123. The uncorrected formation energy comes out at -0.3421 eV/atom. For the density of states at the Fermi level, the calculation gives 3.77 states/eV per cell. As for the total energy: -5.197 eV/atom.

Lattice parameters (Å, degrees): 3.841 3.841 5.112 90.00 90.00 90.00
Fractional positions:
Mg1 0.000 0.000 0.000
P1 0.500 0.500 0.000
Rh1 0.500 0.500 0.500
O1 0.000 0.500 0.500
O2 0.500 0.000 0.500

=====

Material: PrMnAs3
Method: DFT, PBE
State: optimized geometry

As for the space-group type: Pbcm, No. 57. As for the energy relative to the elements: -684 meV per atom. For the density of states at the Fermi level, the calculation gives 10.00 states/eV per cell. As for the total energy: -6.263 eV/atom.

Lattice parameters (Å, degrees): 12.552 5.730 5.645 90.00 90.00 90.00
Fractional positions:
Pr1 0.191 0.004 0.250
Pr2 0.191 0.496 0.750
Pr3 0.809 0.504 0.250
Pr4 0.809 0.996 0.750
Mn1 0.417 0.750 0.000
Mn2 0.417 0.750 0.500
Mn3 0.583 0.250 0.000
Mn4 0.583 0.250 0.500
As1 0.001 0.750 0.000
As2 0.001 0.750 0.500
As3 0.290 0.506 0.250
As4 0.290 0.994 0.750
As5 0.434 0.108 0.250
As6 0.434 0.392 0.750
As7 0.566 0.608 0.250
As8 0.566 0.892 0.750
As9 0.710 0.006 0.250
As10 0.710 0.494 0.750
As11 0.999 0.250 0.000
As12 0.999 0.250 0.500